An optimized crystal structure of PmNdNiIr, computed with PBE.

The structure in POSCAR format:
```
PmNdNiIr
1.0
-2.784 1.358 2.540
-1.502 -3.863 0.419
4.772 -1.541 2.896
Pm Nd Ni Ir
1 1 1 1
direct
0.859 0.500 0.719
0.142 0.000 0.284
0.573 0.500 0.146
0.425 0.000 0.851
```

Computed properties:
The calculation puts the energy above the most stable polymorph in this dataset at 0 meV per atom. For the density, the calculation gives 9.9 g cm⁻³. The final energy comes out at -6.56 eV per atom.

=====

An optimized crystal structure of PmNdNiIr, computed with PBE.

The structure in POSCAR format:
```
PmNdNiIr
1.0
-4.073 1.854 2.157
-4.361 -0.164 -2.374
-3.579 -3.057 1.589
Ni Ir Nd Pm
1 1 1 1
direct
0.250 0.250 0.250
0.750 0.750 0.750
0.000 0.000 0.000
0.500 0.500 0.500
```

Computed properties:
The calculation puts the energy above the most stable polymorph in this dataset at 72 meV per atom. For the density, the calculation gives 10.3 g cm⁻³. The final energy comes out at -6.49 eV per atom.

=====

An optimized crystal structure of NdScNiIr, computed with PBE.

The structure in POSCAR format:
```
NdScNiIr
1.0
4.779 0.000 0.000
2.390 4.139 0.000
2.390 1.380 3.902
Sc Ni Ir Nd
1 1 1 1
direct
0.500 0.500 0.500
0.250 0.250 0.250
0.750 0.750 0.750
0.000 0.000 0.000
```

Computed properties:
For the density, the calculation gives 9.5 g cm⁻³. The final energy comes out at -6.95 eV per atom.

=====

An optimized crystal structure of Nd2Si3Ni4Ir, computed with PBE.

The structure in POSCAR format:
```
Nd2Si3Ni4Ir
1.0
4.015 0.000 0.000
0.000 4.015 0.000
0.000 0.000 9.931
Nd Si Ni Ir
2 3 4 1
direct
0.500 0.000 0.249
0.000 0.500 0.751
0.000 0.000 0.500
0.500 0.000 0.880
0.000 0.500 0.120
0.500 0.500 0.000
0.000 0.000 0.000
0.500 0.000 0.643
0.000 0.500 0.357
0.500 0.500 0.500
```

Computed properties:
For the density, the calculation gives 8.3 g cm⁻³. The final energy comes out at -6.44 eV per atom. The energy relative to the elements, uncorrected is -0.659 eV per atom.

=====

An optimized crystal structure of Nd2Si3NiIr4, computed with PBE.

The structure in POSCAR format:
```
Nd2Si3NiIr4
1.0
4.149 0.000 0.000
0.000 4.149 0.000
0.000 0.000 10.060
Nd Si Ni Ir
2 3 1 4
direct
0.500 0.000 0.255
0.000 0.500 0.745
0.000 0.000 0.500
0.500 0.000 0.872
0.000 0.500 0.128
0.500 0.500 0.500
0.500 0.500 0.000
0.000 0.000 0.000
0.500 0.000 0.632
0.000 0.500 0.368
```

Computed properties:
For the density, the calculation gives 11.5 g cm⁻³. The final energy comes out at -7.60 eV per atom. The energy relative to the elements, uncorrected is -0.896 eV per atom.

=====

An optimized crystal structure of Nd2Si4NiIr3, computed with PBE.

The structure in POSCAR format:
```
Nd2Si4NiIr3
1.0
-3.998 1.006 -0.682
-0.985 -4.056 -0.205
-1.679 -0.083 9.717
Nd Si Ni Ir
2 4 1 3
direct
0.500 0.000 0.247
0.000 0.500 0.753
0.500 0.500 0.000
0.000 0.000 0.000
0.500 0.000 0.626
0.000 0.500 0.374
0.500 0.500 0.500
0.000 0.000 0.500
0.500 0.000 0.873
0.000 0.500 0.127
```

Computed properties:
For the density, the calculation gives 10.0 g cm⁻³. The final energy comes out at -7.30 eV per atom. The energy relative to the elements, uncorrected is -0.940 eV per atom.

=====

An optimized crystal structure of Nd2Si3Ni12Ir, computed with PBE.

The structure in POSCAR format:
```
Nd2Si3Ni12Ir
1.0
-6.143 -3.681 -0.861
0.680 -7.151 -0.649
-2.157 -3.895 5.674
Nd Si Ni Ir
2 3 12 1
direct
0.607 0.607 0.607
0.393 0.393 0.393
0.500 0.000 0.000
0.000 0.500 0.000
0.000 0.000 0.500
0.356 0.356 0.929
0.865 0.865 0.380
0.380 0.865 0.865
0.929 0.356 0.356
0.865 0.380 0.865
0.356 0.929 0.356
0.644 0.644 0.071
0.135 0.135 0.620
0.620 0.135 0.135
0.071 0.644 0.644
0.135 0.620 0.135
0.644 0.071 0.644
0.000 0.000 0.000
```

Computed properties:
For the density, the calculation gives 7.3 g cm⁻³. The final energy comes out at -5.63 eV per atom. The energy relative to the elements, uncorrected is 0.151 eV per atom.

=====

An optimized crystal structure of NdSiNiIr, computed with PBE.

The structure in POSCAR format:
```
NdSiNiIr
1.0
-1.797 -2.853 -2.114
-0.432 -2.263 3.420
-3.091 4.600 0.167
Nd Si Ni Ir
1 1 1 1
direct
0.970 0.970 0.939
0.223 0.723 0.446
0.330 0.330 0.659
0.593 0.593 0.187
```

Computed properties:
For the density, the calculation gives 9.0 g cm⁻³. The final energy comes out at -6.72 eV per atom. The energy relative to the elements, uncorrected is -0.507 eV per atom.

=====

An optimized crystal structure of Nd2Ni3Sn4Ir, computed with PBE.

The structure in POSCAR format:
```
Nd2Ni3Sn4Ir
1.0
4.446 0.000 0.000
0.000 4.446 0.000
0.000 0.000 10.420
Nd Ni Sn Ir
2 3 4 1
direct
0.500 0.000 0.255
0.000 0.500 0.745
0.000 0.000 0.500
0.500 0.000 0.875
0.000 0.500 0.125
0.500 0.500 0.000
0.000 0.000 0.000
0.500 0.000 0.635
0.000 0.500 0.365
0.500 0.500 0.500
```

Computed properties:
For the density, the calculation gives 9.1 g cm⁻³. The final energy comes out at -5.70 eV per atom.

=====

An optimized crystal structure of Nd2Ni4Sn3Ir, computed with PBE.

The structure in POSCAR format:
```
Nd2Ni4Sn3Ir
1.0
-2.103 -3.692 0.408
0.496 0.186 4.235
-9.128 5.292 0.837
Nd Ni Sn Ir
2 4 3 1
direct
0.500 0.000 0.258
0.000 0.500 0.742
0.500 0.500 0.000
0.000 0.000 0.000
0.500 0.000 0.633
0.000 0.500 0.367
0.000 0.000 0.500
0.500 0.000 0.872
0.000 0.500 0.128
0.500 0.500 0.500
```

Computed properties:
For the density, the calculation gives 9.2 g cm⁻³. The final energy comes out at -5.79 eV per atom.

=====

An optimized crystal structure of Nd2NiSn4Ir3, computed with PBE.

The structure in POSCAR format:
```
Nd2NiSn4Ir3
1.0
4.488 0.000 0.000
0.000 4.488 0.000
0.000 0.000 10.826
Nd Ni Sn Ir
2 1 4 3
direct
0.500 0.000 0.252
0.000 0.500 0.748
0.500 0.500 0.500
0.500 0.500 0.000
0.000 0.000 0.000
0.500 0.000 0.625
0.000 0.500 0.375
0.000 0.000 0.500
0.500 0.000 0.866
0.000 0.500 0.134
```

Computed properties:
For the density, the calculation gives 10.6 g cm⁻³. The final energy comes out at -6.32 eV per atom.

=====

An optimized crystal structure of TbNdNiIr, computed with PBE.

The structure in POSCAR format:
```
TbNdNiIr
1.0
3.950 0.000 0.000
0.000 4.111 0.000
-1.975 0.000 5.421
Tb Nd Ni Ir
1 1 1 1
direct
0.861 0.500 0.722
0.144 0.000 0.288
0.572 0.500 0.144
0.423 0.000 0.846
```

Computed properties:
The calculation puts the energy above the most stable polymorph in this dataset at 0 meV per atom. For the density, the calculation gives 10.5 g cm⁻³. The final energy comes out at -6.58 eV per atom.

=====

An optimized crystal structure of TbNdNiIr, computed with PBE.

The structure in POSCAR format:
```
TbNdNiIr
1.0
-3.292 -2.313 2.826
0.251 -4.876 0.578
1.372 -1.896 4.324
Nd Ir Tb Ni
1 1 1 1
direct
0.000 0.000 0.000
0.750 0.750 0.750
0.500 0.500 0.500
0.250 0.250 0.250
```

Computed properties:
The calculation puts the energy above the most stable polymorph in this dataset at 61 meV per atom. For the density, the calculation gives 10.9 g cm⁻³. The final energy comes out at -6.52 eV per atom.

=====

An optimized crystal structure of NdZn3NiIr, computed with PBE.

The structure in POSCAR format:
```
NdZn3NiIr
1.0
-4.004 -2.320 -2.763
3.126 -5.328 -0.057
-4.323 0.987 5.437
Nd Zn Ni Ir
2 6 2 2
direct
0.750 0.272 0.544
0.250 0.728 0.456
0.250 0.141 0.282
0.000 0.296 0.000
0.500 0.704 0.000
0.500 0.296 0.000
0.000 0.704 0.000
0.750 0.859 0.718
0.250 0.941 0.883
0.750 0.059 0.117
0.250 0.348 0.696
0.750 0.652 0.304
```

Computed properties:
For the density, the calculation gives 9.4 g cm⁻³. The final energy comes out at -4.14 eV per atom.

=====

An optimized crystal structure of Nd2ZnNi5Ir2, computed with PBE.

The structure in POSCAR format:
```
Nd2ZnNi5Ir2
1.0
3.650 0.000 0.000
0.000 9.465 0.000
0.000 0.000 9.465
Nd Zn Ni Ir
4 2 10 4
direct
0.000 0.671 0.171
0.000 0.329 0.829
0.000 0.171 0.329
0.000 0.829 0.671
0.000 0.000 0.000
0.000 0.500 0.500
0.500 0.189 0.058
0.500 0.811 0.942
0.500 0.058 0.811
0.500 0.689 0.442
0.500 0.942 0.189
0.500 0.311 0.558
0.500 0.558 0.689
0.500 0.442 0.311
0.500 0.500 0.000
0.500 0.000 0.500
0.000 0.129 0.629
0.000 0.871 0.371
0.000 0.629 0.871
0.000 0.371 0.129
```

Computed properties:
For the density, the calculation gives 10.5 g cm⁻³. The final energy comes out at -5.87 eV per atom.

=====

An optimized crystal structure of Nd2Zn3Ni12Ir, computed with PBE.

The structure in POSCAR format:
```
Nd2Zn3Ni12Ir
1.0
-4.610 8.345 -0.969
-5.612 5.115 -5.847
-8.661 4.007 -0.876
Nd Zn Ni Ir
2 3 12 1
direct
0.649 0.649 0.649
0.351 0.351 0.351
0.500 0.000 0.000
0.000 0.500 0.000
0.000 0.000 0.500
0.419 0.419 0.812
0.928 0.928 0.359
0.359 0.928 0.928
0.812 0.419 0.419
0.928 0.359 0.928
0.419 0.812 0.419
0.581 0.581 0.188
0.072 0.072 0.641
0.641 0.072 0.072
0.188 0.581 0.581
0.072 0.641 0.072
0.581 0.188 0.581
0.000 0.000 0.000
```

Computed properties:
For the density, the calculation gives 8.4 g cm⁻³. The final energy comes out at -4.98 eV per atom.

=====

An optimized crystal structure of NdNp2Ir9, computed with PBE.

The structure in POSCAR format:
```
NdNp2Ir9
1.0
5.314 0.000 0.000
2.657 4.602 0.000
2.657 1.534 8.765
Nd Np Ir
1 2 9
direct
0.000 0.000 0.000
0.859 0.859 0.422
0.141 0.141 0.578
0.667 0.667 0.000
0.333 0.333 0.000
0.500 0.500 0.500
0.415 0.415 0.251
0.919 0.415 0.251
0.415 0.919 0.251
0.585 0.585 0.749
0.585 0.081 0.749
0.081 0.585 0.749
```

Computed properties:
For the density, the calculation gives 18.2 g cm⁻³. The final energy comes out at -9.59 eV per atom.

=====

An optimized crystal structure of NdNpIr, computed with PBE.

The structure in POSCAR format:
```
NdNpIr
1.0
3.886 0.000 0.000
1.943 6.433 -1.304
1.943 0.411 5.436
Ir Np Nd
2 2 2
direct
0.443 0.728 0.387
0.557 0.272 0.613
0.078 0.044 0.801
0.922 0.956 0.199
0.784 0.636 0.795
0.216 0.364 0.205
```

Computed properties:
The calculation puts the energy above the most stable polymorph in this dataset at 0 meV per atom. For the density, the calculation gives 13.8 g cm⁻³. The final energy comes out at -9.13 eV per atom.

=====

An optimized crystal structure of NdNpIr2, computed with PBE.

The structure in POSCAR format:
```
NdNpIr2
1.0
-3.824 1.327 -2.799
-3.405 -3.326 -1.251
-4.511 0.243 1.952
Np Ir Nd
1 2 1
direct
0.500 0.500 0.500
0.250 0.250 0.250
0.750 0.750 0.750
0.000 0.000 0.000
```

Computed properties:
For the density, the calculation gives 15.1 g cm⁻³. The final energy comes out at -9.20 eV per atom.

=====

An optimized crystal structure of NdNpIr2, computed with PBE.

The structure in POSCAR format:
```
NdNpIr2
1.0
3.443 0.000 0.000
0.000 3.443 0.000
0.000 0.000 7.157
Np Ir Nd
1 2 1
direct
0.500 0.500 0.000
0.000 0.000 0.783
0.000 0.000 0.217
0.500 0.500 0.500
```

Computed properties:
For the density, the calculation gives 15.0 g cm⁻³. The final energy comes out at -9.25 eV per atom.

=====

An optimized crystal structure of NdNpIr, computed with PBE.

The structure in POSCAR format:
```
NdNpIr
1.0
4.324 0.000 0.000
0.000 4.528 0.000
0.000 -2.264 3.921
Np Ir Nd
1 1 1
direct
0.239 0.333 0.667
0.059 0.000 0.000
0.703 0.667 0.333
```

Computed properties:
The calculation puts the energy above the most stable polymorph in this dataset at 300 meV per atom. For the density, the calculation gives 12.4 g cm⁻³. The final energy comes out at -8.83 eV per atom.

=====

An optimized crystal structure of NdNpIrPd, computed with PBE.

The structure in POSCAR format:
```
NdNpIrPd
1.0
-4.733 -1.517 -0.244
-1.323 -4.357 2.008
-2.797 -0.096 4.115
Np Ir Nd Pd
1 1 1 1
direct
0.500 0.500 0.500
0.750 0.750 0.750
0.000 0.000 0.000
0.250 0.250 0.250
```

Computed properties:
For the density, the calculation gives 13.0 g cm⁻³. The final energy comes out at -8.31 eV per atom.

=====

An optimized crystal structure of NdNpIrRh, computed with PBE.

The structure in POSCAR format:
```
NdNpIrRh
1.0
4.917 0.000 0.000
2.458 4.258 0.000
2.458 1.419 4.014
Np Rh Ir Nd
1 1 1 1
direct
0.750 0.750 0.750
0.500 0.500 0.500
0.000 0.000 0.000
0.250 0.250 0.250
```

Computed properties:
For the density, the calculation gives 13.4 g cm⁻³. The final energy comes out at -8.85 eV per atom.

=====

Calculated volume values (in Å³ per cell) by entry order: 90.7; 86.7; 77.2; 160.1; 173.2; 172.2; 289.4; 77.9; 205.9; 192.8; 218.1; 88.0; 84.1; 209.7; 327.0; 273.1; 214.4; 138.0; 84.3; 84.9; 76.8; 87.1; 84.0.